Here is a relaxed NbFeMo2Se crystal from Alexandria via LeMat-Bulk. Energies are from PBE-GGA.

ΔE_f (raw): 1.044 eV/atom
raw total energy: -7.692 eV/atom

Unit cell a=4.548 b=4.276 c=4.548 alpha=90.00 beta=90.00 gamma=90.00
Fractional coordinates of all 5 atoms:
Mo 0.000 0.000 0.500
Mo 0.500 0.000 0.000
Nb 0.500 0.500 0.500
Se 0.000 0.500 0.000
Fe 0.000 0.000 0.000